# 1
A relaxed BaEr3Cu crystal, computed with PBE.

```
data_BaEr3Cu
_chemical_formula_sum 'Ba1 Er3 Cu1'
_space_group_name_H-M_alt 'P 1'
_space_group_IT_number 1
_cell_length_a 5.4908
_cell_length_b 5.4908
_cell_length_c 5.4908
_cell_angle_alpha 90.00
_cell_angle_beta 90.00
_cell_angle_gamma 90.00
loop_
_space_group_symop_operation_xyz
'x,y,z'
loop_
_atom_site_label
_atom_site_type_symbol
_atom_site_fract_x
_atom_site_fract_y
_atom_site_fract_z
Ba1 Ba 0.0000 0.0000 0.0000
Er1 Er 0.0000 0.5000 0.5000
Er2 Er 0.5000 0.0000 0.5000
Er3 Er 0.5000 0.5000 0.0000
Cu1 Cu 0.5000 0.5000 0.5000
```

VASP energy: -3.840 eV/atom
SG: Pm-3m, No. 221
Energy of formation from the pure elements: 0.10 eV/atom

# 2
A relaxed BaErCu2 crystal, computed with PBE.

```
data_BaErCu2
_chemical_formula_sum 'Ba1 Er1 Cu2'
_space_group_name_H-M_alt 'P 1'
_space_group_IT_number 1
_cell_length_a 3.6579
_cell_length_b 3.6579
_cell_length_c 7.4579
_cell_angle_alpha 90.00
_cell_angle_beta 90.00
_cell_angle_gamma 90.00
loop_
_space_group_symop_operation_xyz
'x,y,z'
loop_
_atom_site_label
_atom_site_type_symbol
_atom_site_fract_x
_atom_site_fract_y
_atom_site_fract_z
Ba1 Ba 0.0000 0.0000 0.0000
Er1 Er 0.0000 0.0000 0.5000
Cu1 Cu 0.5000 0.5000 0.3201
Cu2 Cu 0.5000 0.5000 0.6799
```

VASP energy: -3.758 eV/atom
SG: P4/mmm, No. 123
Energy of formation from the pure elements: -0.09 eV/atom

# 3
A relaxed Ba2ErCu3F12 crystal, computed with PBE.

```
data_Ba2ErCu3F12
_chemical_formula_sum 'Ba2 Er1 Cu3 F12'
_space_group_name_H-M_alt 'P 1'
_space_group_IT_number 1
_cell_length_a 8.4770
_cell_length_b 8.4770
_cell_length_c 8.4770
_cell_angle_alpha 45.73
_cell_angle_beta 45.73
_cell_angle_gamma 45.73
loop_
_space_group_symop_operation_xyz
'x,y,z'
loop_
_atom_site_label
_atom_site_type_symbol
_atom_site_fract_x
_atom_site_fract_y
_atom_site_fract_z
Ba1 Ba 0.1156 0.1156 0.1156
Ba2 Ba 0.8844 0.8844 0.8844
Er1 Er 0.5000 0.5000 0.5000
Cu1 Cu 0.0000 0.5000 0.5000
Cu2 Cu 0.5000 0.0000 0.5000
Cu3 Cu 0.5000 0.5000 0.0000
F1 F 0.1231 0.6236 0.6236
F2 F 0.1515 0.1515 0.5973
F3 F 0.1515 0.5973 0.1515
F4 F 0.3764 0.3764 0.8769
F5 F 0.3764 0.8769 0.3764
F6 F 0.4027 0.8485 0.8485
F7 F 0.5973 0.1515 0.1515
F8 F 0.6236 0.1231 0.6236
F9 F 0.6236 0.6236 0.1231
F10 F 0.8485 0.4027 0.8485
F11 F 0.8485 0.8485 0.4027
F12 F 0.8769 0.3764 0.3764
```

VASP energy: -5.109 eV/atom
SG: R-3m, No. 166
E_form (uncorrected): -2712 meV per atom

# 4
A relaxed BaErCu2F8 crystal, computed with PBE.

```
data_BaErCu2F8
_chemical_formula_sum 'Ba1 Er1 Cu2 F8'
_space_group_name_H-M_alt 'P 1'
_space_group_IT_number 1
_cell_length_a 5.9365
_cell_length_b 5.9365
_cell_length_c 7.5598
_cell_angle_alpha 90.00
_cell_angle_beta 90.00
_cell_angle_gamma 120.00
loop_
_space_group_symop_operation_xyz
'x,y,z'
loop_
_atom_site_label
_atom_site_type_symbol
_atom_site_fract_x
_atom_site_fract_y
_atom_site_fract_z
Ba1 Ba 0.0000 0.0000 0.0000
Er1 Er 0.0000 0.0000 0.5000
Cu1 Cu 0.3333 0.6667 0.1977
Cu2 Cu 0.6667 0.3333 0.8023
F1 F 0.1542 0.3083 0.3069
F2 F 0.1542 0.8458 0.3069
F3 F 0.3083 0.1542 0.6931
F4 F 0.3333 0.6667 0.9489
F5 F 0.6667 0.3333 0.0511
F6 F 0.6917 0.8458 0.3069
F7 F 0.8458 0.1542 0.6931
F8 F 0.8458 0.6917 0.6931
```

VASP energy: -5.220 eV/atom
SG: P-3m1, No. 164
E_form (uncorrected): -2749 meV per atom

# 5
A relaxed BaErCu2Ge2 crystal, computed with PBE.

```
data_BaErCu2Ge2
_chemical_formula_sum 'Ba1 Er1 Cu2 Ge2'
_space_group_name_H-M_alt 'P 1'
_space_group_IT_number 1
_cell_length_a 4.3787
_cell_length_b 4.3787
_cell_length_c 8.0821
_cell_angle_alpha 90.00
_cell_angle_beta 90.00
_cell_angle_gamma 120.00
loop_
_space_group_symop_operation_xyz
'x,y,z'
loop_
_atom_site_label
_atom_site_type_symbol
_atom_site_fract_x
_atom_site_fract_y
_atom_site_fract_z
Ba1 Ba 0.0000 0.0000 0.0000
Er1 Er 0.0000 0.0000 0.5000
Cu1 Cu 0.3333 0.6667 0.6798
Cu2 Cu 0.6667 0.3333 0.3202
Ge1 Ge 0.3333 0.6667 0.3004
Ge2 Ge 0.6667 0.3333 0.6996
```

VASP energy: -4.531 eV/atom
SG: P-3m1, No. 164
Energy of formation from the pure elements: -0.55 eV/atom

# 6
A relaxed Ba3ErCu2O6 crystal, computed with PBE.

```
data_Ba3ErCu2O6
_chemical_formula_sum 'Ba3 Er1 Cu2 O6'
_space_group_name_H-M_alt 'P 1'
_space_group_IT_number 1
_cell_length_a 6.1596
_cell_length_b 6.1596
_cell_length_c 6.8961
_cell_angle_alpha 90.00
_cell_angle_beta 90.00
_cell_angle_gamma 120.00
loop_
_space_group_symop_operation_xyz
'x,y,z'
loop_
_atom_site_label
_atom_site_type_symbol
_atom_site_fract_x
_atom_site_fract_y
_atom_site_fract_z
Ba1 Ba 0.0000 0.0000 0.0000
Ba2 Ba 0.3333 0.6667 0.6548
Ba3 Ba 0.6667 0.3333 0.3452
Er1 Er 0.0000 0.0000 0.5000
Cu1 Cu 0.3333 0.6667 0.2151
Cu2 Cu 0.6667 0.3333 0.7849
O1 O 0.1642 0.3284 0.3024
O2 O 0.1642 0.8358 0.3024
O3 O 0.3284 0.1642 0.6976
O4 O 0.6716 0.8358 0.3024
O5 O 0.8358 0.1642 0.6976
O6 O 0.8358 0.6716 0.6976
```

VASP energy: -6.054 eV/atom
SG: P-3m1, No. 164
E_form (uncorrected): -2031 meV per atom